Computed, not measured: a geometry-optimized LaPmPr4Sm2 structure at the GGA-PBE level of DFT.

Output
N(E_F)	13.7	states/eV/f.u.
total moment	0.00	μB per formula unit
crystal system	monoclinic

Structure (CIF):
```
data_LaPmPr4Sm2
_chemical_formula_sum 'La1 Pm1 Pr4 Sm2'
_symmetry_space_group_name_H-M 'P 1 2/m 1'
_symmetry_Int_Tables_number 10
_symmetry_space_group_name_Hall '-P 2y'
_cell_length_a 6.382
_cell_length_b 3.701
_cell_length_c 12.258
_cell_angle_alpha 90.00
_cell_angle_beta 100.31
_cell_angle_gamma 90.00
loop_
_atom_site_label
_atom_site_type_symbol
_atom_site_fract_x
_atom_site_fract_y
_atom_site_fract_z
La1 La 0.000 0.000 0.000
Pm1 Pm 0.500 0.500 0.000
Pr1 Pr 0.249 0.000 0.748
Pr2 Pr 0.251 0.500 0.253
Sm1 Sm 0.000 0.500 0.500
Sm2 Sm 0.500 0.000 0.500
```

---

Computed, not measured: a geometry-optimized K2SrGaBi2 structure at the GGA-PBE level of DFT.

Output
N(E_F)	2.5	states/eV/f.u.
total moment	0.00	μB per formula unit
crystal system	orthorhombic

Structure (CIF):
```
data_K2SrGaBi2
_chemical_formula_sum 'K8 Sr4 Ga4 Bi8'
_symmetry_space_group_name_H-M 'I b a m'
_symmetry_Int_Tables_number 72
_symmetry_space_group_name_Hall '-I 2 2c'
_cell_length_a 7.420
_cell_length_b 17.079
_cell_length_c 7.640
_cell_angle_alpha 90.00
_cell_angle_beta 90.00
_cell_angle_gamma 90.00
loop_
_atom_site_label
_atom_site_type_symbol
_atom_site_fract_x
_atom_site_fract_y
_atom_site_fract_z
K1 K 0.228 0.179 0.000
Sr1 Sr 0.000 0.500 0.250
Ga1 Ga 0.000 0.000 0.250
Bi1 Bi 0.220 0.105 0.500
```

---

Number 1: VASP energy -38.11 eV per cell, ΔH_f (0 K) 16 meV/atom. Number 2: VASP energy -68.70 eV per cell, ΔH_f (0 K) -418 meV/atom.